Entry 1:
Compound: MnV3Rh4
Source: Alexandria
Functional: PBE-GGA
Structure: relaxed

Calculated values
The calculation puts the energy at -136.970 eV per cell. As for the total magnetization: 0.243 μB per atom. The space group is Pmma (51). As for the density of states at the Fermi level: 9.6 states/eV/f.u.

a b c (Å): 8.627 5.494 4.603
angles (deg): 90.00 90.00 90.00
Fractional positions:
Mn: 0.000 0.000 0.000
Mn: 0.500 0.000 0.000
V: 0.000 0.500 0.000
V: 0.250 0.000 0.347
V: 0.250 0.500 0.361
V: 0.500 0.500 0.000
V: 0.750 0.000 0.653
V: 0.750 0.500 0.639
Rh: 0.000 0.250 0.500
Rh: 0.000 0.750 0.500
Rh: 0.250 0.248 0.866
Rh: 0.250 0.752 0.866
Rh: 0.500 0.250 0.500
Rh: 0.500 0.750 0.500
Rh: 0.750 0.248 0.134
Rh: 0.750 0.752 0.134


Entry 2:
Compound: MoPBr
Source: Alexandria
Functional: PBE-GGA
Structure: relaxed

Calculated values
For the energy relative to the elements, uncorrected, the calculation gives 0.3907 eV/atom. The calculation puts the energy at -16.742 eV per cell. As for the total magnetization: 0.628 μB per atom. The space group is F-43m (216). The calculation puts the polymorph energy (0 for the lowest one) at 423 meV per atom. As for the density of states at the Fermi level: 1.6 states/eV/f.u.

a b c (Å): 4.397 4.397 4.397
angles (deg): 60.00 60.00 60.00
Fractional positions:
Mo: 0.000 0.000 0.000
P: 0.750 0.750 0.750
Br: 0.250 0.250 0.250


Entry 3:
Compound: Rb2HfScN
Source: Alexandria
Functional: PBE-GGA
Structure: relaxed

Calculated values
For the energy relative to the elements, uncorrected, the calculation gives 0.9834 eV/atom. The calculation puts the energy at -21.628 eV per cell. As for the total magnetization: 0.511 μB per atom. The space group is P4/mmm (123). As for the density of states at the Fermi level: 8.7 states/eV/f.u.

a b c (Å): 7.454 7.454 3.852
angles (deg): 90.00 90.00 90.00
Fractional positions:
Rb: 0.000 0.500 0.000
Rb: 0.500 0.000 0.000
Hf: 0.000 0.000 0.500
Sc: 0.500 0.500 0.000
N: 0.500 0.500 0.500


Entry 4:
Compound: CsAuOF2
Source: Alexandria
Functional: PBE-GGA
Structure: relaxed

Calculated values
For the energy relative to the elements, uncorrected, the calculation gives -1.2046 eV/atom. The calculation puts the energy at -18.855 eV per cell. As for the total magnetization: 0.220 μB per atom. The space group is P4/mmm (123). The calculation puts the polymorph energy (0 for the lowest one) at 0 meV per atom. As for the density of states at the Fermi level: 3.2 states/eV/f.u.

a b c (Å): 4.800 4.800 3.979
angles (deg): 90.00 90.00 90.00
Fractional positions:
Cs: 0.000 0.000 0.000
Au: 0.500 0.500 0.500
O: 0.500 0.500 0.000
F: 0.000 0.500 0.500
F: 0.500 0.000 0.500


Entry 5:
Compound: Ca2Zn3In
Source: Alexandria
Functional: PBE-GGA
Structure: relaxed

Calculated values
The calculation puts the energy at -24.862 eV per cell. As for the total magnetization: 0.000 μB per atom. The space group is Fmmm (69). As for the density of states at the Fermi level: 3.4 states/eV/f.u.

a b c (Å): 9.363 8.890 5.933
angles (deg): 75.41 66.76 37.82
Fractional positions:
Ca: 0.247 0.753 0.753
Ca: 0.250 0.250 0.250
Ca: 0.750 0.750 0.750
Ca: 0.753 0.247 0.247
Zn: 0.162 0.162 0.838
Zn: 0.162 0.676 0.324
Zn: 0.324 0.838 0.162
Zn: 0.676 0.162 0.838
Zn: 0.838 0.324 0.676
Zn: 0.838 0.838 0.162
In: 0.334 0.334 0.666
In: 0.666 0.666 0.334


Entry 6:
Compound: Zr3Tl2Ag
Source: Alexandria
Functional: PBE-GGA
Structure: relaxed

Calculated values
The calculation puts the energy at -33.542 eV per cell. As for the total magnetization: 0.000 μB per atom. The space group is P4/mmm (123). As for the density of states at the Fermi level: 4.2 states/eV/f.u.

a b c (Å): 3.202 3.202 12.845
angles (deg): 90.00 90.00 90.00
Fractional positions:
Zr: 0.000 0.000 0.000
Zr: 0.000 0.000 0.344
Zr: 0.000 0.000 0.656
Tl: 0.500 0.500 0.171
Tl: 0.500 0.500 0.829
Ag: 0.500 0.500 0.500


Entry 7:
Compound: YBeF2
Source: Alexandria
Functional: PBE-GGA
Structure: relaxed

Calculated values
For the energy relative to the elements, uncorrected, the calculation gives -1.4810 eV/atom. The calculation puts the energy at -19.857 eV per cell. As for the total magnetization: 0.148 μB per atom. The space group is Fm-3m (225). The calculation puts the polymorph energy (0 for the lowest one) at 270 meV per atom. As for the density of states at the Fermi level: 2.8 states/eV/f.u.

a b c (Å): 4.289 4.289 4.289
angles (deg): 60.00 60.00 60.00
Fractional positions:
Y: 0.000 0.000 0.000
Be: 0.500 0.500 0.500
F: 0.250 0.250 0.250
F: 0.750 0.750 0.750


Entry 8:
Compound: YFeP4
Source: Alexandria
Functional: PBE-GGA
Structure: relaxed

Calculated values
The calculation puts the energy at -35.379 eV per cell. As for the total magnetization: 0.433 μB per atom. The space group is F-43m (216). As for the density of states at the Fermi level: 5.8 states/eV/f.u.

a b c (Å): 5.163 5.163 5.163
angles (deg): 60.00 60.00 60.00
Fractional positions:
Y: 0.000 0.000 0.000
Fe: 0.750 0.750 0.750
P: 0.379 0.379 0.379
P: 0.379 0.379 0.862
P: 0.379 0.862 0.379
P: 0.862 0.379 0.379


What did the seventh record say?
Compound: YBeF2
Source: Alexandria
Functional: PBE-GGA
Structure: relaxed

Calculated values
For the energy relative to the elements, uncorrected, the calculation gives -1.4810 eV/atom. The calculation puts the energy at -19.857 eV per cell. As for the total magnetization: 0.148 μB per atom. The space group is Fm-3m (225). The calculation puts the polymorph energy (0 for the lowest one) at 270 meV per atom. As for the density of states at the Fermi level: 2.8 states/eV/f.u.

a b c (Å): 4.289 4.289 4.289
angles (deg): 60.00 60.00 60.00
Fractional positions:
Y: 0.000 0.000 0.000
Be: 0.500 0.500 0.500
F: 0.250 0.250 0.250
F: 0.750 0.750 0.750